PBE Ce2ZnN, relaxed; volume = 84 Å³/cell; uncorrected formation energy = -2.82 eV per formula unit; polymorph energy (0 for the lowest one) = 6 kJ/mol of formula units; total magnetic moment = 1.2 μB per cell
1.0
3.530 0.000 0.000
1.765 3.057 0.000
1.765 1.019 7.779
N Ce Zn
1 2 1
direct
0.500 0.500 0.500
0.227 0.227 0.319
0.773 0.773 0.681
0.000 0.000 0.000